Record 1
LuPaCrOs: relaxed, PBE.

Cell lengths 6.784, 6.784, 6.784 Å; angles 90.00, 90.00, 90.00 degrees
Space group F-43m (No. 216)
Inequivalent atoms, fractional coordinates:
Lu  0.000  0.000  0.000 x4
Pa  0.000  0.000  0.500 x4
Cr  0.250  0.250  0.750 x4
Os  0.250  0.250  0.250 x4

---

Record 2
LuPaCrTc: relaxed, PBE.

Cell lengths 6.790, 6.790, 6.790 Å; angles 90.00, 90.00, 90.00 degrees
Space group F-43m (No. 216)
Inequivalent atoms, fractional coordinates:
Lu  0.000  0.000  0.000 x4
Pa  0.000  0.000  0.500 x4
Cr  0.250  0.250  0.750 x4
Tc  0.250  0.250  0.250 x4

---

Record 3
LuCrPd2: relaxed, PBE.

Cell lengths 4.302, 4.302, 3.777 Å; angles 90.00, 90.00, 90.00 degrees
Space group P4/mmm (No. 123)
Inequivalent atoms, fractional coordinates:
Lu  0.000  0.000  0.000 x1
Cr  0.500  0.500  0.000 x1
Pd  0.000  0.500  0.500 x2

---

Record 4
LuCrPtRh: relaxed, PBE.

Cell lengths 6.482, 6.482, 6.482 Å; angles 90.00, 90.00, 90.00 degrees
Space group F-43m (No. 216)
Inequivalent atoms, fractional coordinates:
Lu  0.000  0.000  0.000 x4
Cr  0.000  0.000  0.500 x4
Pt  0.250  0.250  0.750 x4
Rh  0.250  0.250  0.250 x4

---

Record 5
LuPuCrRu: relaxed, PBE.

Cell lengths 6.751, 6.751, 6.751 Å; angles 90.00, 90.00, 90.00 degrees
Space group F-43m (No. 216)
Inequivalent atoms, fractional coordinates:
Lu  0.000  0.000  0.000 x4
Pu  0.000  0.000  0.500 x4
Cr  0.250  0.250  0.250 x4
Ru  0.250  0.250  0.750 x4

---

Record 6
LuCr4Re: relaxed, PBE.

Cell lengths 6.970, 6.970, 6.970 Å; angles 90.00, 90.00, 90.00 degrees
Space group F-43m (No. 216)
Inequivalent atoms, fractional coordinates:
Lu  0.000  0.000  0.000 x4
Cr  0.124  0.124  0.376 x16
Re  0.250  0.250  0.750 x4

---

Here are the calculated E_form numbers, same order: -13.1 36.1 -509.8 -559.3 -52.0 119.8 (meV/atom).
Here are the calculated mass density numbers, same order: 13.8 11.8 10.4 12.8 12.3 11.2 (g cm⁻³).